No. 1
The following is a PBE-GGA calculation of a geometry-optimized MnCr2Se structure, from Alexandria.

Computed properties:
The theoretical density comes out at 7.27 Mg/m³. The space group is P4/mmm. Its uncorrected formation energy is 0.189 eV/atom. Its magnetic moment is 0.5 μB/f.u.

a b c (Å): 3.065 3.065 5.784
angles (deg): 90.00 90.00 90.00
Atoms (fractional coordinates):
Mn  0.000  0.000  0.000
Cr  0.500  0.500  0.249
Cr  0.500  0.500  0.751
Se  0.000  0.000  0.500

---

No. 2
The following is a PBE-GGA calculation of a geometry-optimized Rb2HfGe structure, from Alexandria.

Computed properties:
The theoretical density comes out at 2.79 Mg/m³. The space group is I-42d. Its magnetic moment is 0.0 μB/f.u. The value obtained for the energy relative to the elements is 0.614 eV/atom.

a b c (Å): 13.927 13.927 5.180
angles (deg): 90.00 90.00 90.00
Atoms (fractional coordinates):
Rb  0.052  0.750  0.125
Rb  0.250  0.052  0.875
Rb  0.250  0.448  0.375
Rb  0.448  0.750  0.625
Rb  0.552  0.250  0.625
Rb  0.750  0.552  0.375
Rb  0.750  0.948  0.875
Rb  0.948  0.250  0.125
Hf  0.000  0.000  0.500
Hf  0.000  0.500  0.750
Hf  0.500  0.000  0.250
Hf  0.500  0.500  0.000
Ge  0.000  0.000  0.000
Ge  0.000  0.500  0.250
Ge  0.500  0.000  0.750
Ge  0.500  0.500  0.500

---

No. 3
The following is a PBE-GGA calculation of a geometry-optimized Ge3Os structure, from Alexandria.

Computed properties:
The theoretical density comes out at 10.48 Mg/m³. The space group is Fm-3m. Its magnetic moment is 0.0 μB/f.u. The value obtained for the energy relative to the elements is 0.479 eV/atom.

a b c (Å): 6.373 6.373 6.373
angles (deg): 90.00 90.00 90.00
Atoms (fractional coordinates):
Ge  0.000  0.000  0.000
Ge  0.000  0.500  0.500
Ge  0.250  0.250  0.250
Ge  0.250  0.250  0.750
Ge  0.250  0.750  0.250
Ge  0.250  0.750  0.750
Ge  0.500  0.000  0.500
Ge  0.500  0.500  0.000
Ge  0.750  0.250  0.250
Ge  0.750  0.250  0.750
Ge  0.750  0.750  0.250
Ge  0.750  0.750  0.750
Os  0.000  0.000  0.500
Os  0.000  0.500  0.000
Os  0.500  0.000  0.000
Os  0.500  0.500  0.500

---

No. 4
The following is a PBE-GGA calculation of a geometry-optimized Pm2NdDy6Mg structure, from Alexandria.

Computed properties:
The theoretical density comes out at 7.41 Mg/m³. The space group is C2/c. Its magnetic moment is 0.0 μB/f.u. The value obtained for the energy relative to the elements is 0.108 eV/atom.

a b c (Å): 10.983 10.983 6.669
angles (deg): 94.27 94.27 125.95
Atoms (fractional coordinates):
Pm  0.150  0.314  0.499
Pm  0.314  0.150  0.999
Pm  0.686  0.850  0.001
Pm  0.850  0.686  0.501
Nd  0.492  0.508  0.250
Nd  0.508  0.492  0.750
Dy  0.024  0.203  0.983
Dy  0.065  0.585  0.279
Dy  0.203  0.024  0.483
Dy  0.293  0.587  0.970
Dy  0.413  0.707  0.530
Dy  0.415  0.935  0.221
Dy  0.585  0.065  0.779
Dy  0.587  0.293  0.470
Dy  0.707  0.413  0.030
Dy  0.797  0.976  0.517
Dy  0.935  0.415  0.721
Dy  0.976  0.797  0.017
Mg  0.208  0.792  0.750
Mg  0.792  0.208  0.250

---

no.,E (eV per atom)
1,-7.786
2,-3.513
3,-5.792
4,-4.239